This record from Alexandria via LeMat-Bulk describes a geometry-optimized CaTcOs2Pd structure. The functional is PBE.

Output
polymorph energy (0 for the lowest one) = 0 meV/atom
density of states at the Fermi level = 1.408 states/eV per atom
formation energy = 1.52 eV/atom
crystal system = tetragonal
magnetic moment = 0.8 μB/f.u.

Cell lengths 4.638, 4.638, 5.220 Å; angles 90.00, 90.00, 90.00 degrees
Space group P4/mmm (No. 123)
One atom of each set of equivalent atoms:
Ca: 0.000 0.000 0.000 (multiplicity 1)
Tc: 0.000 0.000 0.500 (multiplicity 1)
Os: 0.000 0.500 0.500 (multiplicity 2)
Pd: 0.500 0.500 0.000 (multiplicity 1)